# Er3ZnTe

Er3ZnTe after structural relaxation (GGA-PBE, Alexandria via LeMat-Bulk).

Total energy, eV/cell: -41.221
E_form (uncorrected), eV/atom: -0.501
N(E_F), states/eV/f.u.: 4.078
Space-group type: C2/m, No. 12

Cell lengths 4.6372, 8.8591, 6.4641 Å; angles 91.16, 90.00, 105.17 degrees
Positions (direct):
Er 0.9934 0.9867 0.7464
Er 0.0066 0.0133 0.2536
Er 0.6163 0.2326 0.9933
Er 0.3837 0.7674 0.0067
Er 0.7923 0.5846 0.3548
Er 0.2077 0.4154 0.6452
Zn 0.2146 0.4292 0.1137
Zn 0.7854 0.5708 0.8863
Te 0.3969 0.7938 0.5086
Te 0.6031 0.2062 0.4914